! SmHoIn6 (GGA-PBE, optimized geometry); values from VASP
&SYSTEM
  ibrav = 0, nat = 8, ntyp = 3
/
ATOMIC_SPECIES
Sm 150.36 Sm.upf
Ho 164.93 Ho.upf
In 114.82 In.upf
ATOMIC_POSITIONS crystal
Sm 0.000 0.000 0.000
Ho 0.500 0.668 0.668
In 0.000 0.010 0.496
In 0.000 0.496 0.010
In 0.000 0.499 0.499
In 0.500 0.174 0.174
In 0.500 0.176 0.652
In 0.500 0.652 0.176
CELL_PARAMETERS angstrom
5.325 0.000 0.000
0.000 3.324 5.757
0.000 -3.324 5.757
! Fermi-level density of states, states/eV/f.u.: 4.13
! Size of the total moment, μB/cell: 0.00
! E_form, eV/atom: -0.37
! Relative energy among the computed polymorphs, meV/atom: 58
! Energy, eV for the cell shown: -28.7
! SG: Amm2, No. 38